RbSn2NCl, optimized geometry, DFT PBE; total energy = -1.98 eV/atom; formation energy without anion corrections = 1.8485 eV/atom; space-group type = No. 123; mass density = 2.745 g cm⁻³; crystal system = tetragonal
1.0
6.396 0.000 0.000
0.000 5.506 0.000
0.000 0.000 6.396
N Sn Rb Cl
1 2 1 1
direct
0.500 0.500 0.500 N
0.000 0.000 0.500 Sn
0.500 0.000 0.000 Sn
0.000 0.000 0.000 Rb
0.000 0.500 0.000 Cl